# Ba2DyMnO5 PBE with a Hubbard U optimized geometry
data_Ba2DyMnO5
_cell_length_a 3.629
_cell_length_b 7.926
_cell_length_c 11.194
_cell_angle_alpha 90.00
_cell_angle_beta 90.00
_cell_angle_gamma 103.23
_symmetry_space_group_name_H-M 'P 1'
_symmetry_Int_Tables_number 1
loop_
_symmetry_equiv_pos_as_xyz
'x,y,z'
loop_
_atom_site_label
_atom_site_fract_x
_atom_site_fract_y
_atom_site_fract_z
_atom_site_occupancy
O1 0.318 0.637 0.398 1
Dy1 0.792 0.585 0.529 1
Ba1 0.115 0.231 0.688 1
O2 0.504 0.009 0.288 1
O3 0.346 0.693 0.015 1
O4 0.654 0.307 0.515 1
O5 0.953 0.905 0.485 1
Ba2 0.132 0.264 0.329 1
Dy2 0.208 0.415 0.029 1
O6 0.706 0.411 0.157 1
Ba3 0.868 0.736 0.829 1
O7 0.047 0.095 0.985 1
O8 0.682 0.363 0.898 1
Mn1 0.448 0.896 0.436 1
Ba4 0.885 0.769 0.188 1
O9 0.496 0.991 0.788 1
Mn2 0.552 0.104 0.936 1
O10 0.294 0.589 0.657 1
# - DFT total energy (eV/atom) = -7.0449
# - total moment (μB per cell) = 8.000